1.
First-principles (PBE-GGA) data for a geometry-optimized RbTiN2O structure, as listed in Alexandria.

Summary:
E_tot = -3.85 eV/atom
ΔE_f (raw) = 2240.3 meV/atom

Cell lengths 4.315, 4.315, 4.048 Å; angles 90.00, 90.00, 90.00 degrees
Fractional coordinates of all 5 atoms:
Rb1 0.000 0.000 0.000
Ti1 0.500 0.500 0.500
N1 0.000 0.500 0.000
N2 0.500 0.000 0.000
O1 0.000 0.000 0.500

***

2.
First-principles (PBE-GGA) data for a geometry-optimized InFe2Pt8 structure, as listed in Alexandria.

Summary:
E_tot = -6.42 eV/atom
ΔE_f = -0.239 eV per atom

Cell lengths 7.377, 7.377, 6.311 Å; angles 105.34, 105.34, 31.22 degrees
Fractional coordinates of all 11 atoms:
In1 0.000 0.000 0.000
Fe1 0.274 0.274 0.353
Fe2 0.726 0.726 0.647
Pt1 0.100 0.100 0.463
Pt2 0.184 0.184 0.916
Pt3 0.354 0.354 0.794
Pt4 0.452 0.452 0.278
Pt5 0.548 0.548 0.722
Pt6 0.646 0.646 0.206
Pt7 0.816 0.816 0.084
Pt8 0.900 0.900 0.537